# Ti4Mn2Cl

A geometry-optimized Ti4Mn2Cl structure (PBE, the Alexandria database).

Computed properties:
The total energy comes out at -49.58 eV/f.u. As for the energy relative to the elements, uncorrected: 312 meV/atom. The total magnetization is 0.439 μB/atom.

Cell: 4.383 4.383 12.391 Å, 90.00 90.00 90.00°
Space group I4/mmm (No. 139)
One atom of each set of equivalent atoms:
1 Ti 0.000 0.000 0.196 (multiplicity 4)
2 Ti 0.000 0.500 0.000 (multiplicity 4)
3 Mn 0.000 0.000 0.372 (multiplicity 4)
4 Cl 0.000 0.000 0.000 (multiplicity 2)

=====

# PrGdGaOs

A geometry-optimized PrGdGaOs structure (PBE, the Alexandria database).

Computed properties:
The total energy comes out at -33.98 eV/f.u. The total magnetization is 1.741 μB/atom. The value obtained for the formation enthalpy at 0 K is -0.21 eV per atom.

Cell: 7.153 7.153 7.153 Å, 90.00 90.00 90.00°
Space group F-43m (No. 216)
One atom of each set of equivalent atoms:
1 Pr 0.000 0.000 0.000 (multiplicity 4)
2 Gd 0.000 0.000 0.500 (multiplicity 4)
3 Ga 0.250 0.250 0.250 (multiplicity 4)
4 Os 0.250 0.250 0.750 (multiplicity 4)

=====

# LiLa3Ta

A geometry-optimized LiLa3Ta structure (PBE, the Alexandria database).

Computed properties:
The offset from the most stable computed form is 0 meV per atom. The total energy comes out at -26.10 eV/f.u. The total magnetization is 0.000 μB/atom. The value obtained for the formation enthalpy at 0 K is 0.49 eV per atom.

Cell: 5.737 5.737 5.737 Å, 90.00 90.00 90.00°
Space group Pm-3m (No. 221)
One atom of each set of equivalent atoms:
1 Li 0.000 0.000 0.000 (multiplicity 1)
2 La 0.000 0.500 0.500 (multiplicity 3)
3 Ta 0.500 0.500 0.500 (multiplicity 1)

=====

# MoPbSe2

A geometry-optimized MoPbSe2 structure (PBE, the Alexandria database).

Computed properties:
The total energy comes out at -22.03 eV/f.u. As for the energy relative to the elements, uncorrected: -131 meV/atom. The total magnetization is 0.001 μB/atom.

Cell: 3.216 3.291 17.589 Å, 90.00 90.00 90.00°
Space group Imm2 (No. 44)
One atom of each set of equivalent atoms:
1 Mo 0.000 0.000 0.000 (multiplicity 2)
2 Pb 0.000 0.500 0.743 (multiplicity 2)
3 Se 0.000 0.000 0.573 (multiplicity 2)
4 Se 0.000 0.500 0.392 (multiplicity 2)

=====

# BaCeTlZn

A geometry-optimized BaCeTlZn structure (PBE, the Alexandria database).

Computed properties:
The total energy comes out at -11.91 eV/f.u. The total magnetization is 0.317 μB/atom. The value obtained for the formation enthalpy at 0 K is -0.10 eV per atom.

Cell: 8.012 8.012 8.012 Å, 90.00 90.00 90.00°
Space group F-43m (No. 216)
One atom of each set of equivalent atoms:
1 Ba 0.000 0.000 0.000 (multiplicity 4)
2 Ce 0.000 0.000 0.500 (multiplicity 4)
3 Tl 0.250 0.250 0.250 (multiplicity 4)
4 Zn 0.250 0.250 0.750 (multiplicity 4)

=====

# AgGeF3

A geometry-optimized AgGeF3 structure (PBE, the Alexandria database).

Computed properties:
The offset from the most stable computed form is 0 meV per atom. The total energy comes out at -20.49 eV/f.u. As for the energy relative to the elements, uncorrected: -1482 meV/atom. The total magnetization is 0.000 μB/atom.

Cell: 4.355 4.355 4.355 Å, 90.00 90.00 90.00°
Space group Pm-3m (No. 221)
One atom of each set of equivalent atoms:
1 Ag 0.000 0.000 0.000 (multiplicity 1)
2 Ge 0.500 0.500 0.500 (multiplicity 1)
3 F 0.000 0.500 0.500 (multiplicity 3)

=====

# CuPt3S

A geometry-optimized CuPt3S structure (PBE, the Alexandria database).

Computed properties:
The offset from the most stable computed form is 0 meV per atom. The total energy comes out at -24.16 eV/f.u. As for the energy relative to the elements, uncorrected: 437 meV/atom. The total magnetization is 0.000 μB/atom.

Cell: 4.478 4.478 4.478 Å, 90.00 90.00 90.00°
Space group Pm-3m (No. 221)
One atom of each set of equivalent atoms:
1 Cu 0.000 0.000 0.000 (multiplicity 1)
2 Pt 0.000 0.500 0.500 (multiplicity 3)
3 S 0.500 0.500 0.500 (multiplicity 1)

=====

# BaCa3Rh

A geometry-optimized BaCa3Rh structure (PBE, the Alexandria database).

Computed properties:
The offset from the most stable computed form is 287 meV per atom. The total energy comes out at -14.99 eV/f.u. The total magnetization is 0.000 μB/atom. The value obtained for the formation enthalpy at 0 K is 0.06 eV per atom.

Cell: 3.793 7.334 13.675 Å, 90.00 90.00 90.00°
Space group Amm2 (No. 38)
One atom of each set of equivalent atoms:
1 Ba 0.000 0.000 0.000 (multiplicity 2)
2 Ca 0.000 0.000 0.433 (multiplicity 2)
3 Ca 0.500 0.238 0.725 (multiplicity 4)
4 Rh 0.500 0.000 0.579 (multiplicity 2)

=====

# Cs2HAu

A geometry-optimized Cs2HAu structure (PBE, the Alexandria database).

Computed properties:
The offset from the most stable computed form is 58 meV per atom. The total energy comes out at -9.04 eV/f.u. The total magnetization is 0.000 μB/atom.

Cell: 8.375 8.375 8.375 Å, 90.00 90.00 90.00°
Space group Fm-3m (No. 225)
One atom of each set of equivalent atoms:
1 Cs 0.250 0.250 0.250 (multiplicity 8)
2 H 0.000 0.000 0.000 (multiplicity 4)
3 Au 0.000 0.000 0.500 (multiplicity 4)

=====

# BaGaGeAu6

A geometry-optimized BaGaGeAu6 structure (PBE, the Alexandria database).

Computed properties:
The total energy comes out at -30.77 eV/f.u. The total magnetization is 0.000 μB/atom. The value obtained for the formation enthalpy at 0 K is -0.17 eV per atom.

Cell: 7.667 9.957 10.802 Å, 90.00 90.00 90.00°
Space group Imma (No. 74)
One atom of each set of equivalent atoms:
1 Ba 0.000 0.250 0.237 (multiplicity 4)
2 Ga 0.250 0.250 0.750 (multiplicity 4)
3 Ge 0.000 0.000 0.000 (multiplicity 4)
4 Au 0.000 0.250 0.568 (multiplicity 4)
5 Au 0.000 0.250 0.923 (multiplicity 4)
6 Au 0.199 0.010 0.627 (multiplicity 16)

=====

# HgH2Au

A geometry-optimized HgH2Au structure (PBE, the Alexandria database).

Computed properties:
The offset from the most stable computed form is 828 meV per atom. The total energy comes out at -6.76 eV/f.u. The total magnetization is 0.000 μB/atom.

Cell: 5.843 5.843 5.843 Å, 90.00 90.00 90.00°
Space group Fm-3m (No. 225)
One atom of each set of equivalent atoms:
1 Hg 0.000 0.000 0.000 (multiplicity 4)
2 H 0.250 0.250 0.250 (multiplicity 8)
3 Au 0.000 0.000 0.500 (multiplicity 4)

=====

# AsP2

A geometry-optimized AsP2 structure (PBE, the Alexandria database).

Computed properties:
The offset from the most stable computed form is 143 meV per atom. The total energy comes out at -14.71 eV/f.u. The total magnetization is 0.000 μB/atom. The value obtained for the formation enthalpy at 0 K is 0.25 eV per atom.

Cell: 3.177 5.128 5.211 Å, 108.01 90.35 107.98°
Space group P1 (No. 1)
One atom of each set of equivalent atoms:
1 As 0.000 0.000 0.000 (multiplicity 1)
2 P 0.219 0.442 0.908 (multiplicity 1)
3 P 0.758 0.525 0.649 (multiplicity 1)

=====

Q: Look up the total energy of the twelfth one.
A: -14.71 eV/f.u.

=====

Q: The highest total energy belongs to which entry?
A: HgH2Au